# Sr4Mo6O19

A relaxed structure of Sr4Mo6O19 (PBE with a Hubbard U, Alexandria).

Geometry as POSCAR:
```
Sr4Mo6O19
1.0
7.767 0.000 -2.746
-3.884 6.727 -2.746
0.000 0.000 8.238
Mo O Sr
6 19 4
Cartesian
0.714 3.363 4.624 Mo
0.614 5.663 -0.868 Mo
5.212 2.300 0.868 Mo
3.170 3.363 -1.878 Mo
-1.328 4.427 1.878 Mo
3.270 1.063 3.614 Mo
4.991 0.000 3.529 O
-2.495 4.322 3.529 O
-0.141 4.704 -2.544 O
1.438 2.023 3.462 O
5.296 0.234 0.715 O
0.260 4.497 2.948 O
3.608 2.257 -0.180 O
-1.444 6.493 2.009 O
0.000 0.000 0.000 O
1.388 2.404 -1.963 O
4.916 4.470 -2.031 O
2.461 4.730 -0.737 O
-1.388 2.404 1.963 O
-1.017 2.230 4.755 O
2.495 4.322 -3.529 O
4.034 2.474 2.566 O
2.776 0.000 1.963 O
-0.120 4.253 0.202 O
4.009 1.996 5.312 O
1.133 1.962 0.801 Sr
-2.751 4.764 -1.945 Sr
0.000 0.000 5.835 Sr
5.501 0.000 -1.945 Sr
```

## Properties
**Total DFT energy (no corrections)**: -7.009 eV/atom
**Symmetry**: No. 197